Sm4Tl3Hg | PBE | relaxed

Lattice parameters (Å, degrees): 3.7633 3.7633 16.0939 90.00 90.00 90.00
Closest atoms and distances in Å follow each position.
Sites, in units of the cell vectors:
1 Tl 0.5000 0.5000 0.2440  8 Sm 3.34-3.37
2 Tl 0.5000 0.5000 0.5000  8 Sm 3.36, 4 Tl 3.76
3 Tl 0.5000 0.5000 0.7560  8 Sm 3.34-3.37
4 Hg 0.5000 0.5000 0.0000  8 Sm 3.27
5 Sm 0.0000 0.0000 0.8816  4 Hg 3.27, 4 Tl 3.34
6 Sm 0.0000 0.0000 0.1184  4 Hg 3.27, 4 Tl 3.34
7 Sm 0.0000 0.0000 0.3723  8 Tl 3.36-3.37, 4 Sm 3.76
8 Sm 0.0000 0.0000 0.6277  8 Tl 3.36-3.37, 4 Sm 3.76

Output
SG: No. 123
Distance to the lowest polymorph of the same formula (kJ per mole of atoms): 0.0
ΔE_f (eV/atom): -0.403